1.
Tm2ZnRu, relaxed, DFT PBE; crystal system = tetragonal; volume = 20.6 Å³ per atom
1.0
-1.447 0.558 3.023
2.810 -1.115 1.551
2.618 6.641 0.028
Zn Tm Ru
1 2 1
direct
0.500 0.500 0.500
0.000 0.000 0.771
0.000 0.000 0.229
0.500 0.500 0.000

2.
Tm2ZnRu3, relaxed, DFT PBE; crystal system = trigonal; volume = 17.6 Å³ per atom
1.0
-3.379 1.315 3.920
-0.087 -4.932 -2.045
5.161 -0.489 0.966
Ru Zn Tm
3 1 2
direct
0.500 0.000 0.500
0.500 0.500 0.500
0.000 0.000 0.500
0.000 0.000 0.000
0.246 0.623 0.870
0.754 0.377 0.130

3.
Tm8Zn2Ru, relaxed, DFT PBE; crystal system = monoclinic; volume = 26.4 Å³ per atom
1.0
5.811 -0.343 -1.241
-2.584 6.973 -4.364
-0.340 -1.502 8.484
Tm Ru Zn
8 1 2
direct
0.649 0.161 0.396
0.295 0.846 0.617
0.986 0.807 0.193
0.295 0.617 0.846
0.770 0.720 0.720
0.649 0.396 0.161
0.128 0.275 0.275
0.986 0.193 0.807
0.291 0.008 0.008
0.474 0.725 0.285
0.474 0.285 0.725

4.
Tm5Zn4Ru, relaxed, DFT PBE; crystal system = tetragonal; volume = 21.2 Å³ per atom
1.0
3.469 0.000 0.000
0.000 3.469 0.000
0.000 0.000 17.631
Zn Tm Ru
4 5 1
direct
0.000 0.000 0.601
0.000 0.000 0.198
0.000 0.000 0.399
0.000 0.000 0.802
0.500 0.500 0.500
0.500 0.500 0.702
0.500 0.500 0.909
0.500 0.500 0.298
0.500 0.500 0.091
0.000 0.000 0.000

5.
Tm2ZnRu2, relaxed, DFT PBE; crystal system = monoclinic; volume = 19.6 Å³ per atom
1.0
-0.063 -3.333 4.222
-2.269 -1.605 -4.728
7.702 -1.449 -1.028
Zn Ru Tm
2 4 4
direct
0.849 0.000 0.250
0.151 0.000 0.750
0.720 0.728 0.493
0.992 0.272 0.007
0.280 0.272 0.507
0.008 0.728 0.993
0.797 0.296 0.649
0.203 0.704 0.351
0.501 0.704 0.851
0.499 0.296 0.149

6.
Tm3Zn9Ru2, relaxed, DFT PBE; crystal system = orthorhombic; volume = 17.4 Å³ per atom
1.0
-4.096 0.952 0.972
-0.615 -0.949 7.915
0.255 7.066 3.734
Tm Zn Ru
3 9 2
direct
0.690 0.310 0.310
0.310 0.690 0.690
0.000 0.000 0.000
0.874 0.403 0.849
0.126 0.597 0.151
0.874 0.849 0.403
0.661 0.700 0.978
0.339 0.022 0.300
0.339 0.300 0.022
0.661 0.978 0.700
0.126 0.151 0.597
0.000 0.500 0.500
0.500 0.679 0.321
0.500 0.321 0.679

7.
Tm4Zn3Ru, relaxed, DFT PBE; crystal system = tetragonal; volume = 21.1 Å³ per atom
1.0
-1.885 -2.450 1.555
-0.924 -1.251 -3.091
11.206 -8.549 0.111
Zn Tm Ru
3 4 1
direct
0.500 0.500 0.753
0.500 0.500 0.247
0.500 0.500 0.500
0.000 0.000 0.886
0.000 0.000 0.627
0.000 0.000 0.373
0.000 0.000 0.114
0.500 0.500 0.000

8.
Tm3Zn2Ru, relaxed, DFT PBE; crystal system = trigonal; volume = 20.6 Å³ per atom
1.0
-4.136 -1.611 -2.001
4.151 -2.451 -0.683
-1.115 -3.264 4.934
Ru Zn Tm
1 2 3
direct
0.000 0.000 0.000
0.667 0.333 0.339
0.333 0.667 0.661
0.333 0.667 0.155
0.667 0.333 0.845
0.000 0.000 0.500

9.
Tm5ZnRu4, relaxed, DFT PBE; crystal system = tetragonal; volume = 19.5 Å³ per atom
1.0
-0.164 1.398 3.070
0.765 -2.978 1.397
16.664 3.872 -0.871
Ru Tm Zn
4 5 1
direct
0.000 0.000 0.797
0.000 0.000 0.402
0.000 0.000 0.203
0.000 0.000 0.598
0.500 0.500 0.500
0.500 0.500 0.306
0.500 0.500 0.113
0.500 0.500 0.887
0.500 0.500 0.694
0.000 0.000 0.000

10.
Tm4ZnRu2, relaxed, DFT PBE; crystal system = tetragonal; volume = 22.1 Å³ per atom
1.0
4.783 0.000 0.000
0.000 4.783 0.000
0.000 0.000 6.765
Tm Ru Zn
4 2 1
direct
0.500 0.000 0.745
0.000 0.500 0.745
0.500 0.000 0.255
0.000 0.500 0.255
0.500 0.500 0.500
0.000 0.000 0.000
0.500 0.500 0.000

11.
TmZn4Ru, relaxed, DFT PBE; crystal system = cubic; volume = 15.6 Å³ per atom
1.0
5.092 0.000 0.000
2.546 4.410 0.000
2.546 1.470 4.158
Zn Tm Ru
4 1 1
direct
0.626 0.121 0.626
0.626 0.626 0.121
0.626 0.626 0.626
0.121 0.626 0.626
0.250 0.250 0.250
0.000 0.000 0.000

12.
Tm12ZnRu6, relaxed, DFT PBE; crystal system = trigonal; volume = 25.7 Å³ per atom
1.0
8.050 -0.169 -0.203
-1.388 7.931 -0.203
-1.388 -1.617 7.767
Tm Ru Zn
12 6 1
direct
0.558 0.177 0.418
0.067 0.667 0.925
0.925 0.067 0.667
0.582 0.442 0.823
0.418 0.558 0.177
0.333 0.075 0.933
0.442 0.823 0.582
0.075 0.933 0.333
0.667 0.925 0.067
0.933 0.333 0.075
0.823 0.582 0.442
0.177 0.418 0.558
0.616 0.303 0.139
0.697 0.861 0.384
0.861 0.384 0.697
0.384 0.697 0.861
0.139 0.616 0.303
0.303 0.139 0.616
0.000 0.000 0.000

13.
Tm6ZnRu5, relaxed, DFT PBE; crystal system = orthorhombic; volume = 19.3 Å³ per atom
1.0
4.570 0.004 -1.406
-0.745 6.307 -2.403
0.031 -0.515 8.230
Ru Zn Tm
5 1 6
direct
0.000 0.500 0.000
0.336 0.836 0.673
0.664 0.164 0.327
0.334 0.334 0.667
0.666 0.666 0.333
0.000 0.000 0.000
0.500 0.260 0.000
0.829 0.085 0.659
0.500 0.740 0.000
0.171 0.915 0.341
0.829 0.574 0.659
0.171 0.426 0.341

14.
Tm3Zn8Ru, relaxed, DFT PBE; crystal system = trigonal; volume = 17.3 Å³ per atom
1.0
5.227 0.000 0.000
2.614 4.527 0.000
2.614 1.509 8.759
Zn Tm Ru
8 3 1
direct
0.434 0.434 0.197
0.938 0.446 0.678
0.446 0.938 0.678
0.686 0.686 0.941
0.434 0.935 0.197
0.188 0.188 0.435
0.935 0.434 0.197
0.938 0.938 0.678
0.987 0.987 0.038
0.505 0.505 0.486
0.379 0.379 0.864
0.880 0.880 0.360

15.
TmZn11Ru, relaxed, DFT PBE; crystal system = monoclinic; volume = 15.7 Å³ per atom
1.0
-1.859 4.724 1.104
-6.679 0.255 0.856
-0.170 1.196 6.822
Zn Tm Ru
11 1 1
direct
0.500 0.000 0.500
0.495 0.785 0.217
0.025 0.644 0.345
0.711 0.785 0.783
0.975 0.356 0.655
0.370 0.644 0.655
0.505 0.215 0.783
0.000 0.000 0.500
0.630 0.356 0.345
0.289 0.215 0.217
0.000 0.500 0.000
0.000 0.000 0.000
0.500 0.500 0.000

16.
Tm2Zn3Ru, relaxed, DFT PBE; crystal system = monoclinic; volume = 18.0 Å³ per atom
1.0
-2.877 -3.870 2.168
1.785 -0.497 -4.952
5.046 0.838 1.739
Zn Ru Tm
3 1 2
direct
0.000 0.000 0.500
0.500 0.500 0.500
0.500 0.000 0.500
0.000 0.000 0.000
0.745 0.372 0.118
0.255 0.628 0.882

17.
Tm4ZnRu2, relaxed, DFT PBE; crystal system = tetragonal; volume = 22.3 Å³ per atom
1.0
7.404 0.022 -0.038
-2.446 6.989 0.038
-2.512 -3.482 6.032
Ru Tm Zn
4 8 2
direct
0.517 0.392 0.625
0.875 0.108 0.483
0.233 0.608 0.125
0.375 0.892 0.767
0.499 0.108 0.251
0.749 0.248 0.857
0.141 0.392 0.393
0.609 0.752 0.501
0.001 0.608 0.749
0.251 0.252 0.859
0.143 0.892 0.391
0.607 0.748 0.999
0.000 0.000 0.000
0.750 0.500 0.250

18.
Tm8Zn2Ru, relaxed, DFT PBE; crystal system = monoclinic; volume = 25.1 Å³ per atom
1.0
5.105 0.000 0.000
0.000 6.696 0.048
-2.553 -2.814 8.061
Tm Zn Ru
8 2 1
direct
0.660 0.965 0.320
0.026 0.789 0.052
0.803 0.695 0.605
0.592 0.434 0.183
0.340 0.035 0.680
0.408 0.566 0.817
0.974 0.211 0.948
0.197 0.305 0.395
0.183 0.711 0.366
0.817 0.289 0.634
0.500 0.000 0.000

19.
Tm2Zn3Ru, relaxed, DFT PBE; crystal system = orthorhombic; volume = 20.1 Å³ per atom
1.0
4.745 0.000 0.000
0.000 5.287 0.000
-2.373 -2.644 4.806
Zn Tm Ru
3 2 1
direct
0.379 0.379 0.758
0.621 0.621 0.242
0.000 0.000 0.000
0.712 0.212 0.424
0.288 0.788 0.576
0.000 0.500 0.000

20.
TmZr3Ru4, relaxed, DFT PBE; crystal system = trigonal; volume = 17.9 Å³ per atom
1.0
4.463 0.000 1.317
2.037 3.971 1.317
0.038 0.023 8.090
Ru Zr Tm
4 3 1
direct
0.378 0.378 0.867
0.127 0.127 0.619
0.873 0.873 0.381
0.622 0.622 0.133
0.250 0.250 0.250
0.750 0.750 0.750
0.500 0.500 0.500
0.000 0.000 0.000

21.
TmZr3Ru, relaxed, DFT PBE; crystal system = monoclinic; volume = 24.2 Å³ per atom
1.0
6.891 -0.334 -0.223
-2.207 6.536 0.223
-2.811 -2.746 5.488
Zr Tm Ru
6 2 2
direct
0.839 0.112 0.344
0.161 0.888 0.656
0.699 0.427 0.126
0.232 0.505 0.344
0.301 0.573 0.874
0.768 0.495 0.656
0.259 0.955 0.214
0.741 0.045 0.786
0.644 0.730 0.374
0.356 0.270 0.626

22.
TmZrRu4, relaxed, DFT PBE; crystal system = cubic; volume = 17.1 Å³ per atom
1.0
-4.558 2.490 0.801
-2.136 0.091 4.801
-0.100 4.479 2.747
Ru Zr Tm
4 1 1
direct
0.126 0.625 0.625
0.625 0.126 0.625
0.625 0.625 0.126
0.625 0.625 0.625
0.250 0.250 0.250
0.000 0.000 0.000

23.
Tm2ZrRu, relaxed, DFT PBE; crystal system = tetragonal; volume = 22.7 Å³ per atom
1.0
3.365 0.000 0.000
0.000 3.365 0.000
0.000 0.000 8.021
Ru Tm Zr
1 2 1
direct
0.500 0.500 0.000
0.000 0.000 0.204
0.000 0.000 0.796
0.500 0.500 0.500

Number 1: energy of formation -1.86 eV per formula unit. Number 2: energy of formation -2.13 eV per formula unit. Number 3: energy of formation -1.62 eV per formula unit. Number 4: energy of formation -3.98 eV per formula unit. Number 5: energy of formation -1.83 eV per formula unit. Number 6: energy of formation -4.28 eV per formula unit. Number 7: energy of formation -3.27 eV per formula unit. Number 8: energy of formation -2.60 eV per formula unit. Number 9: energy of formation -4.47 eV per formula unit. Number 10: energy of formation -2.69 eV per formula unit. Number 11: energy of formation -1.81 eV per formula unit. Number 12: energy of formation -3.53 eV per formula unit. Number 13: energy of formation -5.48 eV per formula unit. Number 14: energy of formation -3.49 eV per formula unit. Number 15: energy of formation -2.17 eV per formula unit. Number 16: energy of formation -2.45 eV per formula unit. Number 17: energy of formation -2.02 eV per formula unit. Number 18: energy of formation -2.51 eV per formula unit. Number 19: energy of formation -0.79 eV per formula unit. Number 20: energy of formation -5.01 eV per formula unit. Number 21: energy of formation -0.56 eV per formula unit. Number 22: energy of formation -2.05 eV per formula unit. Number 23: energy of formation -0.81 eV per formula unit.